Material: PuGaS2
Method: DFT, PBE
State: optimized geometry

Computed properties:
The value obtained for the formation energy from raw total energies is -92 kJ per mole of atoms.

Cell: 4.0019 4.0019 24.9991 Å, 90.00 90.00 120.00°
Space group R-3m (No. 166, hexagonal axes)
Inequivalent atoms, fractional coordinates:
Pu: 0.0000 0.0000 0.0000 (multiplicity 3)
Ga: 0.0000 0.0000 0.5000 (multiplicity 3)
S: 0.0000 0.0000 0.3908 (multiplicity 6)